1.
# LaTbRhBr

A relaxed LaTbRhBr crystal (GGA-PBE, Alexandria).

Unit cell a=8.2462 b=8.2462 c=8.2462 alpha=28.62 beta=28.62 gamma=28.62
With the nearest neighbours (Å) after each atom.
Sites, in units of the cell vectors:
La (0.0000, 0.0000, 0.0000)  3 Rh 2.83
Tb (0.7954, 0.7954, 0.7954)  3 Rh 2.78
Rh (0.3995, 0.3995, 0.3995)  3 Tb 2.78, 3 La 2.83
Br (0.2254, 0.2254, 0.2254)  3 Tb 3.28, 3 La 3.48

Results
The value obtained for the uncorrected formation energy is -1.124 eV per atom. For the electronic total energy, the calculation gives -5.77 eV/atom. The space-group type is R3m.

---

2.
# La2TeRhBr

A relaxed La2TeRhBr crystal (GGA-PBE, Alexandria).

Unit cell a=5.5988 b=5.5988 c=5.4336 alpha=90.00 beta=90.00 gamma=90.00
With the nearest neighbours (Å) after each atom.
Sites, in units of the cell vectors:
La (0.0000, 0.5000, 0.0000)  2 Br 2.80
La (0.5000, 0.0000, 0.0000)  2 Br 2.80
Te (0.0000, 0.0000, 0.5000)  2 Br 2.72
Rh (0.5000, 0.5000, 0.5000)  8 La 3.90, 4 Te 3.96
Br (0.0000, 0.0000, 0.0000)  2 Te 2.72, 4 La 2.80

Results
The value obtained for the uncorrected formation energy is 0.236 eV per atom. For the electronic total energy, the calculation gives -4.17 eV/atom. The space-group type is P4/mmm.

---

3.
# La4Te2RhBr

A relaxed La4Te2RhBr crystal (GGA-PBE, Alexandria).

Unit cell a=7.7587 b=4.3185 c=7.9040 alpha=90.00 beta=108.87 gamma=90.00
With the nearest neighbours (Å) after each atom.
Sites, in units of the cell vectors:
La (0.2149, 0.0000, 0.2139)  2 Rh 2.91, 1 Br 3.19, 1 Te 3.21
La (0.2450, 0.5000, 0.7627)  1 Rh 3.07, 2 Br 3.11, 3 Te 3.17-3.30
La (0.7550, 0.5000, 0.2373)  1 Rh 3.07, 2 Br 3.11, 3 Te 3.17-3.30
La (0.7851, 0.0000, 0.7861)  2 Rh 2.91, 1 Br 3.19, 1 Te 3.21
Te (0.0000, 0.0000, 0.5000)  6 La 3.17-3.21
Te (0.5000, 0.5000, 0.5000)  6 La 3.30-3.38
Rh (0.0000, 0.5000, 0.0000)  6 La 2.91-3.07
Br (0.5000, 0.0000, 0.0000)  6 La 3.11-3.19

Results
The value obtained for the uncorrected formation energy is -1.309 eV per atom. For the electronic total energy, the calculation gives -5.69 eV/atom. The space-group type is P2/m.